[1]
# TaCo PBE relaxed
data_TaCo
_chemical_formula_sum 'Ta3 Co3'
_cell_length_a 5.0679
_cell_length_b 5.0679
_cell_length_c 4.1757
_cell_angle_alpha 90.00
_cell_angle_beta 90.00
_cell_angle_gamma 120.00
_symmetry_space_group_name_H-M 'P 1'
_symmetry_Int_Tables_number 1
loop_
_symmetry_equiv_pos_as_xyz
'x,y,z'
loop_
_atom_site_label
_atom_site_fract_x
_atom_site_fract_y
_atom_site_fract_z
_atom_site_occupancy
Ta1 0.0000 0.0000 0.0000 1
Ta2 0.3333 0.6667 0.5000 1
Ta3 0.6667 0.3333 0.5000 1
Co1 0.0000 0.5000 0.0000 1
Co2 0.5000 0.0000 0.0000 1
Co3 0.5000 0.5000 0.0000 1
# **Spin magnetization**: 0.00 Bohr magnetons per cell
# **Space group**: P6/mmm
# **Energy of formation**: 0.032 eV/atom


[2]
# Mn2ZnRe2 PBE relaxed
data_Mn2ZnRe2
_chemical_formula_sum 'Mn4 Zn2 Re4'
_cell_length_a 7.1482
_cell_length_b 7.1482
_cell_length_c 2.7059
_cell_angle_alpha 90.00
_cell_angle_beta 90.00
_cell_angle_gamma 90.00
_symmetry_space_group_name_H-M 'P 1'
_symmetry_Int_Tables_number 1
loop_
_symmetry_equiv_pos_as_xyz
'x,y,z'
loop_
_atom_site_label
_atom_site_fract_x
_atom_site_fract_y
_atom_site_fract_z
_atom_site_occupancy
Mn1 0.1292 0.3708 0.0000 1
Mn2 0.3708 0.8708 0.0000 1
Mn3 0.6292 0.1292 0.0000 1
Mn4 0.8708 0.6292 0.0000 1
Zn1 0.0000 0.0000 0.0000 1
Zn2 0.5000 0.5000 0.0000 1
Re1 0.1619 0.6619 0.5000 1
Re2 0.3381 0.1619 0.5000 1
Re3 0.6619 0.8381 0.5000 1
Re4 0.8381 0.3381 0.5000 1
# **Spin magnetization**: 0.00 Bohr magnetons per cell
# **Space group**: P4/mbm
# **Energy of formation**: 0.235 eV/atom


[3]
# Li3NbAs PBE relaxed
data_Li3NbAs
_chemical_formula_sum 'Li3 Nb1 As1'
_cell_length_a 4.9297
_cell_length_b 4.9297
_cell_length_c 4.9297
_cell_angle_alpha 90.00
_cell_angle_beta 90.00
_cell_angle_gamma 90.00
_symmetry_space_group_name_H-M 'P 1'
_symmetry_Int_Tables_number 1
loop_
_symmetry_equiv_pos_as_xyz
'x,y,z'
loop_
_atom_site_label
_atom_site_fract_x
_atom_site_fract_y
_atom_site_fract_z
_atom_site_occupancy
Li1 0.0000 0.0000 0.5000 1
Li2 0.0000 0.5000 0.0000 1
Li3 0.5000 0.0000 0.0000 1
Nb1 0.0000 0.0000 0.0000 1
As1 0.5000 0.5000 0.5000 1
# **Spin magnetization**: 4.46 Bohr magnetons per cell
# **Space group**: Pm-3m
# **Excess energy over the best structure of this formula in the dataset**: 709 meV/atom
# **Energy of formation**: 1.227 eV/atom


[4]
# NaBe2Tc2 PBE relaxed
data_NaBe2Tc2
_chemical_formula_sum 'Na2 Be4 Tc4'
_cell_length_a 7.5405
_cell_length_b 7.5405
_cell_length_c 2.4392
_cell_angle_alpha 90.00
_cell_angle_beta 90.00
_cell_angle_gamma 90.00
_symmetry_space_group_name_H-M 'P 1'
_symmetry_Int_Tables_number 1
loop_
_symmetry_equiv_pos_as_xyz
'x,y,z'
loop_
_atom_site_label
_atom_site_fract_x
_atom_site_fract_y
_atom_site_fract_z
_atom_site_occupancy
Na1 0.0000 0.0000 0.0000 1
Na2 0.5000 0.5000 0.0000 1
Be1 0.1672 0.3328 0.0000 1
Be2 0.3328 0.8328 0.0000 1
Be3 0.6672 0.1672 0.0000 1
Be4 0.8328 0.6672 0.0000 1
Tc1 0.1233 0.6233 0.5000 1
Tc2 0.3767 0.1233 0.5000 1
Tc3 0.6233 0.8767 0.5000 1
Tc4 0.8767 0.3767 0.5000 1
# **Spin magnetization**: 0.00 Bohr magnetons per cell
# **Space group**: P4/mbm
# **Energy of formation**: 0.324 eV/atom


[5]
# HoEr4Tl4 PBE relaxed
data_HoEr4Tl4
_chemical_formula_sum 'Ho2 Er8 Tl8'
_cell_length_a 9.4266
_cell_length_b 9.4266
_cell_length_c 5.8041
_cell_angle_alpha 90.00
_cell_angle_beta 90.00
_cell_angle_gamma 90.00
_symmetry_space_group_name_H-M 'P 1'
_symmetry_Int_Tables_number 1
loop_
_symmetry_equiv_pos_as_xyz
'x,y,z'
loop_
_atom_site_label
_atom_site_fract_x
_atom_site_fract_y
_atom_site_fract_z
_atom_site_occupancy
Ho1 0.2500 0.2500 0.2500 1
Ho2 0.7500 0.7500 0.7500 1
Er1 0.0932 0.8279 0.6356 1
Er2 0.1721 0.5932 0.1356 1
Er3 0.3279 0.9068 0.1356 1
Er4 0.4068 0.6721 0.6356 1
Er5 0.5932 0.3279 0.3644 1
Er6 0.6721 0.0932 0.8644 1
Er7 0.8279 0.4068 0.8644 1
Er8 0.9068 0.1721 0.3644 1
Tl1 0.0410 0.1469 0.8581 1
Tl2 0.1469 0.4590 0.6419 1
Tl3 0.3531 0.0410 0.6419 1
Tl4 0.4590 0.3531 0.8581 1
Tl5 0.5410 0.6469 0.1419 1
Tl6 0.6469 0.9590 0.3581 1
Tl7 0.8531 0.5410 0.3581 1
Tl8 0.9590 0.8531 0.1419 1
# **Spin magnetization**: 0.00 Bohr magnetons per cell
# **Space group**: P4_2/n
# **Energy of formation**: -0.144 eV/atom


[6]
# Y3Zr PBE relaxed
data_Y3Zr
_chemical_formula_sum 'Y3 Zr1'
_cell_length_a 5.5354
_cell_length_b 5.5354
_cell_length_c 5.5354
_cell_angle_alpha 60.00
_cell_angle_beta 60.00
_cell_angle_gamma 60.00
_symmetry_space_group_name_H-M 'P 1'
_symmetry_Int_Tables_number 1
loop_
_symmetry_equiv_pos_as_xyz
'x,y,z'
loop_
_atom_site_label
_atom_site_fract_x
_atom_site_fract_y
_atom_site_fract_z
_atom_site_occupancy
Y1 0.0000 0.0000 0.0000 1
Y2 0.2500 0.2500 0.2500 1
Y3 0.7500 0.7500 0.7500 1
Zr1 0.5000 0.5000 0.5000 1
# **Spin magnetization**: 3.13 Bohr magnetons per cell
# **Space group**: Fm-3m
# **Excess energy over the best structure of this formula in the dataset**: 139 meV/atom
# **Energy of formation**: 0.210 eV/atom


[7]
# TiBPW2 PBE relaxed
data_TiBPW2
_chemical_formula_sum 'Ti1 B1 P1 W2'
_cell_length_a 4.1472
_cell_length_b 4.1472
_cell_length_c 4.2209
_cell_angle_alpha 90.00
_cell_angle_beta 90.00
_cell_angle_gamma 90.00
_symmetry_space_group_name_H-M 'P 1'
_symmetry_Int_Tables_number 1
loop_
_symmetry_equiv_pos_as_xyz
'x,y,z'
loop_
_atom_site_label
_atom_site_fract_x
_atom_site_fract_y
_atom_site_fract_z
_atom_site_occupancy
Ti1 0.0000 0.0000 0.0000 1
B1 0.0000 0.0000 0.5000 1
P1 0.5000 0.5000 0.0000 1
W1 0.0000 0.5000 0.5000 1
W2 0.5000 0.0000 0.5000 1
# **Spin magnetization**: 0.00 Bohr magnetons per cell
# **Space group**: P4/mmm
# **Energy of formation**: 0.320 eV/atom


[8]
# Tb3Er2Tm PBE relaxed
data_Tb3Er2Tm
_chemical_formula_sum 'Tb6 Er4 Tm2'
_cell_length_a 8.8692
_cell_length_b 8.8692
_cell_length_c 9.5956
_cell_angle_alpha 122.68
_cell_angle_beta 122.68
_cell_angle_gamma 36.67
_symmetry_space_group_name_H-M 'P 1'
_symmetry_Int_Tables_number 1
loop_
_symmetry_equiv_pos_as_xyz
'x,y,z'
loop_
_atom_site_label
_atom_site_fract_x
_atom_site_fract_y
_atom_site_fract_z
_atom_site_occupancy
Tb1 0.9996 0.9996 0.1685 1
Tb2 0.0004 0.0004 0.8315 1
Tb3 0.2513 0.2513 0.0803 1
Tb4 0.3753 0.3753 0.8721 1
Tb5 0.6247 0.6247 0.1279 1
Tb6 0.7487 0.7487 0.9197 1
Er1 0.2511 0.2511 0.4146 1
Er2 0.4998 0.4998 0.3350 1
Er3 0.5002 0.5002 0.6650 1
Er4 0.7489 0.7489 0.5854 1
Tm1 0.1249 0.1249 0.6220 1
Tm2 0.8751 0.8751 0.3780 1
# **Spin magnetization**: 0.00 Bohr magnetons per cell
# **Space group**: C2/m
# **Excess energy over the best structure of this formula in the dataset**: 70 meV/atom
# **Energy of formation**: 0.071 eV/atom